A plane-wave DFT calculation with PBE-GGA was carried out for a geometry-optimized ScTc2Cl structure.

Values from the calculation:
The value obtained for the size of the total moment is 0.7 μB/f.u. The total energy is -6.826 eV/atom. As for the energy relative to the lowest polymorph listed for this composition: 757 meV per atom. For the density of states at the Fermi level, the calculation gives 6.679 states/eV/cell. For the formation energy without anion corrections, the calculation gives 38.7 kJ/mol of atoms.

abc: 8.8196 8.8196 8.8196
angles: 19.38 19.38 19.38
Last column: magnetic moment on the atom in μB.
Atoms (fractional coordinates):
Tc 0.9953 0.9953 0.9953  0.30
Cl 0.2500 0.2500 0.2500  0.01
Sc 0.7500 0.7500 0.7500  0.01
Tc 0.5047 0.5047 0.5047  0.30